(1)
Compound: RbMnHg2
Source: Alexandria via LeMat-Bulk
Functional: GGA-PBE
Structure: optimized geometry

Unit cell a=7.7670 b=7.7670 c=7.7670 alpha=90.00 beta=90.00 gamma=90.00
Last column: nearest neighbours and their distance in Å.
Space group Fm-3m (No. 225)
Inequivalent atoms, fractional coordinates:
Rb1 0.0000 0.0000 0.0000 (multiplicity 4)  8 Hg 3.36
Mn1 0.0000 0.0000 0.5000 (multiplicity 4)  8 Hg 3.36
Hg1 0.2500 0.2500 0.2500 (multiplicity 8)  4 Rb 3.36, 4 Mn 3.36

Properties
E_form: 381 meV/atom
E_tot: -2.304 eV per atom
M_tot: 16.9 μB per cell
crystal system: cubic



(2)
Compound: RbMnHg3
Source: Alexandria via LeMat-Bulk
Functional: GGA-PBE
Structure: optimized geometry

Unit cell a=6.6523 b=6.6523 c=6.6523 alpha=90.00 beta=90.00 gamma=90.00
Last column: nearest neighbours and their distance in Å.
Space group Pm-3m (No. 221)
Inequivalent atoms, fractional coordinates:
Rb1 0.0000 0.0000 0.0000 (multiplicity 1)  6 Hg 3.33
Mn1 0.5000 0.5000 0.5000 (multiplicity 1)  12 Hg 4.70
Hg1 0.0000 0.0000 0.5000 (multiplicity 3)  2 Rb 3.33

Properties
E_form: 782 meV/atom
E_tot: -1.427 eV per atom
M_tot: 4.5 μB per cell
crystal system: cubic



(3)
Compound: RbMn2Hg
Source: Alexandria via LeMat-Bulk
Functional: GGA-PBE
Structure: optimized geometry

Unit cell a=5.3735 b=5.3735 c=18.8734 alpha=90.00 beta=90.00 gamma=90.00
Last column: nearest neighbours and their distance in Å.
Space group I4_1/amd (No. 141, origin choice 2)
Inequivalent atoms, fractional coordinates:
Rb1 0.0000 0.2500 0.3750 (multiplicity 4)  4 Hg 3.80, 8 Mn 3.82
Mn1 0.0000 0.0000 0.0000 (multiplicity 8)  2 Mn 2.69, 2 Hg 2.71
Hg1 0.0000 0.2500 0.8750 (multiplicity 4)  4 Mn 2.71

Properties
E_form: 795 meV/atom
E_tot: -4.107 eV per atom
M_tot: 32.4 μB per cell
crystal system: tetragonal



(4)
Compound: RbMnHg2
Source: Alexandria via LeMat-Bulk
Functional: GGA-PBE
Structure: optimized geometry

Unit cell a=5.9345 b=5.9345 c=18.0731 alpha=90.00 beta=90.00 gamma=90.00
Last column: nearest neighbours and their distance in Å.
Space group I-42d (No. 122)
Inequivalent atoms, fractional coordinates:
Rb1 0.0000 0.0000 0.0000 (multiplicity 4)  8 Hg 3.85-4.18, 4 Mn 4.20
Mn1 0.0000 0.0000 0.5000 (multiplicity 4)  4 Hg 2.71
Hg1 0.0384 0.2500 0.6250 (multiplicity 8)  2 Mn 2.71, 2 Hg 3.00

Properties
E_form: 299 meV/atom
E_tot: -2.387 eV per atom
M_tot: 16.0 μB per cell
crystal system: tetragonal



(5)
Compound: Rb2MnHgSb
Source: Alexandria via LeMat-Bulk
Functional: GGA-PBE
Structure: optimized geometry

Unit cell a=6.9315 b=6.9315 c=5.0052 alpha=90.00 beta=90.00 gamma=90.00
Last column: nearest neighbours and their distance in Å.
Space group P4/mmm (No. 123)
Inequivalent atoms, fractional coordinates:
Rb1 0.0000 0.5000 0.0000 (multiplicity 2)  2 Mn 3.47
Mn1 0.0000 0.0000 0.0000 (multiplicity 1)  2 Sb 2.50
Hg1 0.5000 0.5000 0.5000 (multiplicity 1)  8 Rb 4.27
Sb1 0.0000 0.0000 0.5000 (multiplicity 1)  2 Mn 2.50

Properties
formation energy without anion corrections: 0.5 eV per formula unit
E_tot: -2.999 eV per atom
M_tot: 4.1 μB per cell
crystal system: tetragonal



(6)
Compound: RbMnSi2Hg
Source: Alexandria via LeMat-Bulk
Functional: GGA-PBE
Structure: optimized geometry

Unit cell a=5.7816 b=5.7816 c=5.9634 alpha=90.00 beta=90.00 gamma=90.00
Last column: nearest neighbours and their distance in Å.
Space group P4/mmm (No. 123)
Inequivalent atoms, fractional coordinates:
Rb1 0.0000 0.0000 0.0000 (multiplicity 1)  4 Si 2.89, 2 Hg 2.98
Mn1 0.5000 0.5000 0.5000 (multiplicity 1)  4 Hg 4.09, 8 Si 4.15
Si1 0.0000 0.5000 0.0000 (multiplicity 2)  2 Rb 2.89
Hg1 0.0000 0.0000 0.5000 (multiplicity 1)  2 Rb 2.98

Properties
formation energy without anion corrections: 10.0 eV per formula unit
E_tot: -2.255 eV per atom
M_tot: 3.4 μB per cell
crystal system: tetragonal



(7)
Compound: RbMnSnHg2
Source: Alexandria via LeMat-Bulk
Functional: GGA-PBE
Structure: optimized geometry

Unit cell a=6.2647 b=6.2647 c=6.5755 alpha=90.00 beta=90.00 gamma=90.00
Last column: nearest neighbours and their distance in Å.
Space group P4/mmm (No. 123)
Inequivalent atoms, fractional coordinates:
Rb1 0.0000 0.0000 0.0000 (multiplicity 1)  4 Hg 3.13, 2 Mn 3.29
Mn1 0.0000 0.0000 0.5000 (multiplicity 1)  2 Rb 3.29
Sn1 0.5000 0.5000 0.5000 (multiplicity 1)  4 Mn 4.43, 8 Hg 4.54
Hg1 0.0000 0.5000 0.0000 (multiplicity 2)  2 Rb 3.13

Properties
E_form: 1119 meV/atom
E_tot: -1.830 eV per atom
M_tot: 2.5 μB per cell
crystal system: tetragonal



(8)
Compound: RbTaMn2Hg
Source: Alexandria via LeMat-Bulk
Functional: GGA-PBE
Structure: optimized geometry

Unit cell a=5.2078 b=5.2078 c=5.7787 alpha=90.00 beta=90.00 gamma=90.00
Last column: nearest neighbours and their distance in Å.
Space group P4/mmm (No. 123)
Inequivalent atoms, fractional coordinates:
Rb1 0.0000 0.0000 0.0000 (multiplicity 1)  2 Hg 2.89
Ta1 0.5000 0.5000 0.0000 (multiplicity 1)  4 Rb 3.68, 8 Mn 3.89
Mn1 0.0000 0.5000 0.5000 (multiplicity 2)  2 Hg 2.60
Hg1 0.0000 0.0000 0.5000 (multiplicity 1)  4 Mn 2.60, 2 Rb 2.89

Properties
E_form: 1877 meV/atom
E_tot: -4.415 eV per atom
M_tot: 5.2 μB per cell
crystal system: tetragonal